[1]
# Tb2Pm3YSb6 | Alexandria | PBE-GGA | optimized geometry
data_Tb2Pm3YSb6
_cell_length_a 19.3746
_cell_length_b 4.4482
_cell_length_c 8.8893
_cell_angle_alpha 90.00
_cell_angle_beta 103.18
_cell_angle_gamma 90.00
_symmetry_space_group_name_H-M 'C 1 2/m 1'
_symmetry_Int_Tables_number 12
_symmetry_space_group_name_Hall '-C 2y'
loop_
_atom_site_label
_atom_site_fract_x
_atom_site_fract_y
_atom_site_fract_z
Tb1 0.1665 0.0000 0.3331
Pm1 0.0000 0.5000 0.5000
Pm2 0.1668 0.0000 0.8333
Y1 0.0000 0.5000 0.0000
Sb1 0.0012 0.0000 0.2463
Sb2 0.1652 0.5000 0.0864
Sb3 0.1680 0.5000 0.5799
# Total DFT energy (no corrections) in eV per atom: -5.7291
# Size of the total moment in μB/atom: 0.0000
# Uncorrected formation energy in eV per atom: -1.17

=====

[2]
# Dy2Ga3Fe14C2 | Alexandria | PBE-GGA | optimized geometry
data_Dy2Ga3Fe14C2
_cell_length_a 9.7421
_cell_length_b 8.5478
_cell_length_c 6.5171
_cell_angle_alpha 90.00
_cell_angle_beta 98.78
_cell_angle_gamma 90.00
_symmetry_space_group_name_H-M 'C 1 2/m 1'
_symmetry_Int_Tables_number 12
_symmetry_space_group_name_Hall '-C 2y'
loop_
_atom_site_label
_atom_site_fract_x
_atom_site_fract_y
_atom_site_fract_z
Dy1 0.1521 0.0000 0.3385
Ga1 0.0000 0.5000 0.5000
Ga2 0.2500 0.2500 0.0000
Fe1 0.0000 0.2028 0.0000
Fe2 0.0914 0.5000 0.9047
Fe3 0.0989 0.2496 0.6543
Fe4 0.1415 0.3560 0.2849
Fe5 0.1550 0.0000 0.8451
C1 0.2500 0.2500 0.5000
# Total DFT energy (no corrections) in eV per atom: -7.5403
# Size of the total moment in μB/atom: 1.2223
# ΔH_f (0 K) in eV/atom: -0.1493

=====

[3]
# SnAs3H | Alexandria | PBE-GGA | optimized geometry
data_SnAs3H
_cell_length_a 5.3343
_cell_length_b 5.3343
_cell_length_c 5.3343
_cell_angle_alpha 90.00
_cell_angle_beta 90.00
_cell_angle_gamma 90.00
_symmetry_space_group_name_H-M 'P m -3 m'
_symmetry_Int_Tables_number 221
_symmetry_space_group_name_Hall '-P 4 2 3'
loop_
_atom_site_label
_atom_site_fract_x
_atom_site_fract_y
_atom_site_fract_z
Sn1 0.0000 0.0000 0.0000
As1 0.0000 0.0000 0.5000
H1 0.5000 0.5000 0.5000
# Total DFT energy (no corrections) in eV per atom: -2.8878
# Size of the total moment in μB/atom: 0.0937
# Excess energy over the best structure of this formula in the dataset in kcal/mol of atoms: 19.616

=====

[4]
# Ga2Au2I | Alexandria | PBE-GGA | optimized geometry
data_Ga2Au2I
_cell_length_a 7.9279
_cell_length_b 7.9279
_cell_length_c 3.5722
_cell_angle_alpha 90.00
_cell_angle_beta 90.00
_cell_angle_gamma 90.00
_symmetry_space_group_name_H-M 'P 4/m b m'
_symmetry_Int_Tables_number 127
_symmetry_space_group_name_Hall '-P 4 2ab'
loop_
_atom_site_label
_atom_site_fract_x
_atom_site_fract_y
_atom_site_fract_z
Ga1 0.1637 0.3363 0.0000
Au1 0.1265 0.6265 0.5000
I1 0.0000 0.0000 0.5000
# Total DFT energy (no corrections) in eV per atom: -2.8079
# Size of the total moment in μB/atom: 0.0000
# Excess energy over the best structure of this formula in the dataset in kcal/mol of atoms: 2.744
# Uncorrected formation energy in eV per atom: 0.02

=====

[5]
# TbPmGe2Pt5 | Alexandria | PBE-GGA | optimized geometry
data_TbPmGe2Pt5
_cell_length_a 4.3024
_cell_length_b 4.3024
_cell_length_c 9.0544
_cell_angle_alpha 90.00
_cell_angle_beta 90.00
_cell_angle_gamma 90.00
_symmetry_space_group_name_H-M 'P 4/m m m'
_symmetry_Int_Tables_number 123
_symmetry_space_group_name_Hall '-P 4 2'
loop_
_atom_site_label
_atom_site_fract_x
_atom_site_fract_y
_atom_site_fract_z
Tb1 0.0000 0.0000 0.0000
Pm1 0.0000 0.0000 0.5000
Ge1 0.5000 0.5000 0.1346
Pt1 0.0000 0.5000 0.2696
Pt2 0.5000 0.5000 0.5000
# Total DFT energy (no corrections) in eV per atom: -6.3274
# Size of the total moment in μB/atom: 0.0000
# ΔH_f (0 K) in eV/atom: -0.9030

=====

[6]
# TaReSi2 | Alexandria | PBE-GGA | optimized geometry
data_TaReSi2
_cell_length_a 3.3629
_cell_length_b 4.1968
_cell_length_c 8.2969
_cell_angle_alpha 90.00
_cell_angle_beta 90.00
_cell_angle_gamma 90.00
_symmetry_space_group_name_H-M 'I m m 2'
_symmetry_Int_Tables_number 44
_symmetry_space_group_name_Hall 'I 2 -2'
loop_
_atom_site_label
_atom_site_fract_x
_atom_site_fract_y
_atom_site_fract_z
Ta1 0.0000 0.0000 0.0000
Re1 0.0000 0.5000 0.7635
Si1 0.0000 0.0000 0.4982
Si2 0.0000 0.5000 0.2506
# Total DFT energy (no corrections) in eV per atom: -8.8822
# Size of the total moment in μB/atom: 0.0000
# Uncorrected formation energy in eV per atom: -0.10

=====

Ρ list, top to bottom, in g/cm³: 7.0; 8.3; 3.8; 9.8; 14.1; 12.0